Record 1
# PBE ZrTi2Ga, relaxed
data_ZrTi2Ga
_symmetry_space_group_name_H-M 'P 1'
_symmetry_Int_Tables_number 1
_symmetry_space_group_name_Hall 'P 1'
_cell_length_a 4.685
_cell_length_b 4.685
_cell_length_c 4.665
_cell_angle_alpha 60.15
_cell_angle_beta 60.15
_cell_angle_gamma 59.71
loop_
_atom_site_label
_atom_site_fract_x
_atom_site_fract_y
_atom_site_fract_z
Zr1 0.500 0.500 0.500
Ti1 0.000 0.000 0.000
Ti2 0.250 0.250 0.250
Ga1 0.750 0.750 0.750
# - energy of formation (eV/atom) = -0.159
# - space group = No. 119



Record 2
# PBE Tb6YTm2Mg, relaxed
data_Tb6YTm2Mg
_symmetry_space_group_name_H-M 'P 1'
_symmetry_Int_Tables_number 1
_symmetry_space_group_name_Hall 'P 1'
_cell_length_a 9.431
_cell_length_b 8.654
_cell_length_c 8.654
_cell_angle_alpha 116.82
_cell_angle_beta 93.89
_cell_angle_gamma 93.89
loop_
_atom_site_label
_atom_site_fract_x
_atom_site_fract_y
_atom_site_fract_z
Tb1 0.051 0.124 0.759
Tb2 0.449 0.241 0.876
Tb3 0.949 0.876 0.241
Tb4 0.551 0.759 0.124
Tb5 0.311 0.992 0.436
Tb6 0.189 0.564 0.008
Tb7 0.689 0.008 0.564
Tb8 0.811 0.436 0.992
Tb9 0.112 0.705 0.498
Tb10 0.388 0.502 0.295
Tb11 0.888 0.295 0.502
Tb12 0.612 0.498 0.705
Y1 0.250 0.979 0.021
Y2 0.750 0.021 0.979
Tm1 0.450 0.801 0.695
Tm2 0.050 0.305 0.199
Tm3 0.550 0.199 0.305
Tm4 0.950 0.695 0.801
Mg1 0.250 0.408 0.592
Mg2 0.750 0.592 0.408
# - energy of formation (eV/atom) = 0.123
# - space group = No. 15



Record 3
# PBE CrHgIr, relaxed
data_CrHgIr
_symmetry_space_group_name_H-M 'P 1'
_symmetry_Int_Tables_number 1
_symmetry_space_group_name_Hall 'P 1'
_cell_length_a 4.388
_cell_length_b 4.388
_cell_length_c 4.388
_cell_angle_alpha 60.00
_cell_angle_beta 60.00
_cell_angle_gamma 60.00
loop_
_atom_site_label
_atom_site_fract_x
_atom_site_fract_y
_atom_site_fract_z
Cr1 0.000 0.000 0.000
Hg1 0.500 0.500 0.500
Ir1 0.750 0.750 0.750
# - energy of formation (eV/atom) = 0.643
# - space group = No. 216
# - polymorph energy (0 for the lowest one) (meV/atom) = 406



Record 4
# PBE Li2ScPd4, relaxed
data_Li2ScPd4
_symmetry_space_group_name_H-M 'P 1'
_symmetry_Int_Tables_number 1
_symmetry_space_group_name_Hall 'P 1'
_cell_length_a 5.273
_cell_length_b 5.273
_cell_length_c 5.273
_cell_angle_alpha 112.21
_cell_angle_beta 108.12
_cell_angle_gamma 108.12
loop_
_atom_site_label
_atom_site_fract_x
_atom_site_fract_y
_atom_site_fract_z
Li1 0.500 0.500 0.000
Li2 0.500 0.000 0.500
Sc1 0.000 0.000 0.000
Pd1 0.500 0.000 0.000
Pd2 0.500 0.500 0.500
Pd3 0.000 0.000 0.500
Pd4 0.000 0.500 0.000
# - energy of formation (eV/atom) = -0.420
# - space group = No. 139
# - polymorph energy (0 for the lowest one) (meV/atom) = 151